1.
VASP calculation (GGA-PBE) on an optimized crystal structure of Ba2SmNpSe6.

Summary:
size of the total moment = 2.000 μB per formula unit
ΔE_f (raw) = -16.3 eV per formula unit
SG = No. 14

a = 7.4742 Å, b = 7.9219 Å, c = 10.8592 Å
α = 90.00°, β = 90.11°, γ = 90.00°
Last column: nearest neighbours and their distance in Å.
Positions (direct):
Ba1 0.5230 0.5749 0.7501  6 Se 3.31-3.53
Ba2 0.9770 0.0749 0.7499  6 Se 3.31-3.53
Ba3 0.0230 0.9251 0.2501  6 Se 3.31-3.53
Ba4 0.4770 0.4251 0.2499  6 Se 3.31-3.53
Np1 0.5000 0.0000 0.5000  6 Se 2.73-2.77
Np2 0.0000 0.5000 0.0000  6 Se 2.73-2.77
Sm1 0.0000 0.5000 0.5000  6 Se 2.88-2.92
Sm2 0.5000 0.0000 0.0000  6 Se 2.88-2.92
Se1 0.2022 0.1919 0.4524  1 Np 2.74, 1 Sm 2.92
Se2 0.5926 0.0204 0.2570  1 Np 2.73, 1 Sm 2.88
Se3 0.2978 0.6919 0.0476  1 Np 2.74, 1 Sm 2.92
Se4 0.1873 0.2059 0.0491  1 Np 2.77, 1 Sm 2.90
Se5 0.0926 0.4796 0.7570  1 Np 2.73, 1 Sm 2.88
Se6 0.7022 0.3081 0.9524  1 Np 2.74, 1 Sm 2.92
Se7 0.6873 0.2941 0.5491  1 Np 2.77, 1 Sm 2.90
Se8 0.3127 0.7059 0.4509  1 Np 2.77, 1 Sm 2.90
Se9 0.7978 0.8081 0.5476  1 Np 2.74, 1 Sm 2.92
Se10 0.9074 0.5204 0.2430  1 Np 2.73, 1 Sm 2.88
Se11 0.8127 0.7941 0.9509  1 Np 2.77, 1 Sm 2.90
Se12 0.4074 0.9796 0.7430  1 Np 2.73, 1 Sm 2.88



2.
VASP calculation (GGA-PBE) on an optimized crystal structure of HfFe3Os.

Summary:
size of the total moment = 3.713 μB per formula unit
energy above the lowest structure with this stoichiometry = 0.0000 eV/atom
SG = No. 221

a = 4.4326 Å, b = 4.4326 Å, c = 4.4326 Å
α = 90.00°, β = 90.00°, γ = 90.00°
Last column: nearest neighbours and their distance in Å.
Positions (direct):
Hf1 0.5000 0.5000 0.5000  12 Fe 3.13
Os1 0.0000 0.0000 0.0000  6 Fe 2.22
Fe1 0.0000 0.5000 0.0000  2 Os 2.22
Fe2 0.5000 0.0000 0.0000  2 Os 2.22
Fe3 0.0000 0.0000 0.5000  2 Os 2.22



3.
VASP calculation (GGA-PBE) on an optimized crystal structure of AcPm2Ru.

Summary:
size of the total moment = 0.000 μB per formula unit
energy above the lowest structure with this stoichiometry = 0.1140 eV/atom
SG = No. 123

a = 3.5847 Å, b = 3.5847 Å, c = 9.5523 Å
α = 90.00°, β = 90.00°, γ = 90.00°
Last column: nearest neighbours and their distance in Å.
Positions (direct):
Ac1 0.5000 0.5000 0.5000  4 Ac 3.58, 8 Pm 4.01
Pm1 0.0000 0.0000 0.8258  4 Ru 3.03, 1 Pm 3.33
Pm2 0.0000 0.0000 0.1742  4 Ru 3.03, 1 Pm 3.33
Ru1 0.5000 0.5000 0.0000  8 Pm 3.03



no.,E (eV/atom)
1,-5.87
2,-8.20
3,-5.80